# PBE ZrSb2Au, relaxed
# Total DFT energy (no corrections), eV per atom: -5.166
# Uncorrected formation energy, eV/atom: -0.15
# DOS at the Fermi energy, states/eV per cell: 4.43
data_ZrSb2Au
_cell_length_a 10.3663
_cell_length_b 3.3281
_cell_length_c 5.4146
_cell_angle_alpha 90.00
_cell_angle_beta 95.77
_cell_angle_gamma 90.00
_space_group_name_H-M_alt 'C 1 2/m 1'
_space_group_IT_number 12
loop_
_space_group_symop_operation_xyz
'x,y,z'
'-x,-y,-z'
'-x,y,-z'
'x,-y,z'
'x+1/2,y+1/2,z'
'-x+1/2,-y+1/2,-z'
'-x+1/2,y+1/2,-z'
'x+1/2,-y+1/2,z'
loop_
_atom_site_label
_atom_site_fract_x
_atom_site_fract_y
_atom_site_fract_z
Zr1 0.0000 0.0000 0.0000
Sb1 0.2300 0.5000 0.2334
Au1 0.0000 0.5000 0.5000


# PBE Nd3AuSe3, relaxed
# Total DFT energy (no corrections), eV per atom: -5.509
# Uncorrected formation energy, eV/atom: -1.50
# DOS at the Fermi energy, states/eV per cell: 25.34
data_Nd3AuSe3
_cell_length_a 8.8543
_cell_length_b 8.8543
_cell_length_c 17.8845
_cell_angle_alpha 90.00
_cell_angle_beta 90.00
_cell_angle_gamma 120.00
_space_group_name_H-M_alt 'R -3'
_space_group_IT_number 148
_space_group_name_Hall '-R 3'
loop_
_atom_site_label
_atom_site_fract_x
_atom_site_fract_y
_atom_site_fract_z
Nd1 0.0056 0.6395 0.4183
Au1 0.0000 0.0000 0.1604
Se1 0.0063 0.7089 0.5870


# PBE Rh, relaxed
# Polymorph energy (0 for the lowest one), meV per atom: 1246
# Total DFT energy (no corrections), eV per atom: -6.105
# E_form, eV/atom: 1.2462
# DOS at the Fermi energy, states/eV per cell: 24.97
data_Rh
_cell_length_a 7.5776
_cell_length_b 7.5776
_cell_length_c 7.5776
_cell_angle_alpha 90.00
_cell_angle_beta 90.00
_cell_angle_gamma 90.00
_space_group_name_H-M_alt 'I m -3 m'
_space_group_IT_number 229
_space_group_name_Hall '-I 4 2 3'
loop_
_atom_site_label
_atom_site_fract_x
_atom_site_fract_y
_atom_site_fract_z
Rh1 0.1583 0.1583 0.1583